No. 1
GaFeAu3: optimized geometry, GGA-PBE.

a b c (Å): 4.884 4.884 4.884
angles (deg): 90.00 90.00 90.00
Space group Pm-3m (No. 221)
Asymmetric unit:
Ga  0.000  0.000  0.000 (multiplicity 1)
Fe  0.500  0.500  0.500 (multiplicity 1)
Au  0.000  0.500  0.500 (multiplicity 3)

Summary:
- E (Ry per atom) = -0.2694
- energy of formation from the pure elements (eV per atom) = 0.600
- total moment (μB/cell) = 3.2
- volume (Å³ per atom) = 23.3
- N(E_F) (states/eV per atom) = 0.505

=====

No. 2
BaTiCrI2: optimized geometry, GGA-PBE.

a b c (Å): 5.658 5.658 4.896
angles (deg): 90.00 90.00 90.00
Space group P4/mmm (No. 123)
Asymmetric unit:
Ba  0.000  0.000  0.000 (multiplicity 1)
Ti  0.500  0.500  0.500 (multiplicity 1)
Cr  0.500  0.500  0.000 (multiplicity 1)
I  0.000  0.500  0.500 (multiplicity 2)

Summary:
- E (Ry per atom) = -0.3340
- total moment (μB/cell) = 2.3
- volume (Å³ per atom) = 31.3
- N(E_F) (states/eV per atom) = 0.819
- formation energy (no corrections) (meV/atom) = -36

=====

No. 3
K2TmSb4Au3: optimized geometry, GGA-PBE.

a b c (Å): 4.789 4.789 12.255
angles (deg): 90.00 90.00 90.00
Space group P-4m2 (No. 115)
Asymmetric unit:
K  0.000  0.500  0.243 (multiplicity 2)
Tm  0.000  0.000  0.500 (multiplicity 1)
Sb  0.000  0.000  0.000 (multiplicity 1)
Sb  0.000  0.500  0.642 (multiplicity 2)
Sb  0.500  0.500  0.000 (multiplicity 1)
Au  0.000  0.500  0.869 (multiplicity 2)
Au  0.500  0.500  0.500 (multiplicity 1)

Summary:
- E (Ry per atom) = -0.2768
- total moment (μB/cell) = 0.0
- volume (Å³ per atom) = 28.1
- N(E_F) (states/eV per atom) = 0.181
- formation energy (no corrections) (meV/atom) = -468

=====

No. 4
La3BiI7: optimized geometry, GGA-PBE.

a b c (Å): 9.5500 9.5500 7.1803
angles (deg): 90.00 90.00 120.00
Space group P3m1 (No. 156)
Asymmetric unit:
La  0.1686  0.3371  0.0000 (multiplicity 3)
Bi  0.3333  0.6667  0.2419 (multiplicity 1)
I  0.0000  0.0000  0.7425 (multiplicity 1)
I  0.0246  0.5123  0.7475 (multiplicity 3)
I  0.3206  0.1603  0.2315 (multiplicity 3)

Summary:
- E (Ry per atom) = -0.2902
- total moment (μB/cell) = 1.1
- volume (Å³ per atom) = 51.6
- N(E_F) (states/eV per atom) = 0.209
- formation energy (no corrections) (meV/atom) = -1266

=====

No. 5
Zr2PtPb: optimized geometry, GGA-PBE.

a b c (Å): 3.690 4.549 10.168
angles (deg): 90.00 90.00 90.00
Space group Imm2 (No. 44)
Asymmetric unit:
Zr  0.000  0.000  0.000 (multiplicity 2)
Zr  0.000  0.500  0.234 (multiplicity 2)
Pt  0.000  0.000  0.511 (multiplicity 2)
Pb  0.000  0.500  0.776 (multiplicity 2)

Summary:
- E (Ry per atom) = -0.5278
- energy of formation from the pure elements (eV per atom) = -0.470
- total moment (μB/cell) = 0.0
- volume (Å³ per atom) = 21.3
- N(E_F) (states/eV per atom) = 0.331

=====

No. 6
Li7CuPd4: optimized geometry, GGA-PBE.

a b c (Å): 12.507 4.472 6.903
angles (deg): 90.00 115.95 90.00
Space group C2/m (No. 12)
Asymmetric unit:
Li  0.000  0.000  0.000 (multiplicity 2)
Li  0.075  0.500  0.424 (multiplicity 4)
Li  0.199  0.500  0.849 (multiplicity 4)
Li  0.211  0.500  0.229 (multiplicity 4)
Cu  0.000  0.500  0.000 (multiplicity 2)
Pd  0.074  0.000  0.715 (multiplicity 4)
Pd  0.169  0.000  0.381 (multiplicity 4)

Summary:
- E (Ry per atom) = -0.2481
- energy of formation from the pure elements (eV per atom) = -0.187
- total moment (μB/cell) = 0.0
- volume (Å³ per atom) = 14.5
- N(E_F) (states/eV per atom) = 0.282

=====

No. 7
LaPmGa2Pd5: optimized geometry, GGA-PBE.

a b c (Å): 4.326 4.326 9.240
angles (deg): 90.00 90.00 90.00
Space group P4/mmm (No. 123)
Asymmetric unit:
La  0.000  0.000  0.000 (multiplicity 1)
Pm  0.000  0.000  0.500 (multiplicity 1)
Ga  0.500  0.500  0.363 (multiplicity 2)
Pd  0.000  0.500  0.227 (multiplicity 4)
Pd  0.500  0.500  0.000 (multiplicity 1)

Summary:
- E (Ry per atom) = -0.3984
- energy of formation from the pure elements (eV per atom) = -0.787
- total moment (μB/cell) = 0.0
- volume (Å³ per atom) = 19.2
- N(E_F) (states/eV per atom) = 0.769

=====

No. 8
NbAl2Ga2: optimized geometry, GGA-PBE.

a b c (Å): 7.043 7.043 3.405
angles (deg): 90.00 90.00 90.00
Space group P4/mbm (No. 127)
Asymmetric unit:
Nb  0.000  0.000  0.000 (multiplicity 2)
Al  0.167  0.333  0.500 (multiplicity 4)
Ga  0.133  0.633  0.000 (multiplicity 4)

Summary:
- E (Ry per atom) = -0.3470
- energy of formation from the pure elements (eV per atom) = 0.001
- total moment (μB/cell) = 0.0
- volume (Å³ per atom) = 16.9
- N(E_F) (states/eV per atom) = 0.595

=====

No. 9
Be2TeCl: optimized geometry, GGA-PBE.

a b c (Å): 6.505 6.505 6.505
angles (deg): 90.00 90.00 90.00
Space group Fm-3m (No. 225)
Asymmetric unit:
Be  0.250  0.250  0.250 (multiplicity 8)
Te  0.000  0.000  0.000 (multiplicity 4)
Cl  0.000  0.000  0.500 (multiplicity 4)

Summary:
- E (Ry per atom) = -0.1909
- total moment (μB/cell) = 0.0
- volume (Å³ per atom) = 17.2
- N(E_F) (states/eV per atom) = 0.280
- formation energy (no corrections) (meV/atom) = 512

=====

No. 10
Tl2MoCl5: optimized geometry, GGA-PBE.

a b c (Å): 4.995 16.914 13.494
angles (deg): 90.00 90.00 90.00
Space group Cmcm (No. 63)
Asymmetric unit:
Tl  0.000  0.140  0.077 (multiplicity 8)
Mo  0.000  0.151  0.750 (multiplicity 4)
Cl  0.000  0.051  0.623 (multiplicity 8)
Cl  0.000  0.253  0.615 (multiplicity 8)
Cl  0.000  0.327  0.250 (multiplicity 4)

Summary:
- E (Ry per atom) = -0.2931
- total moment (μB/cell) = 12.0
- volume (Å³ per atom) = 35.6
- formation energy (no corrections) (meV/atom) = -888

=====

No. 11
Ta2TcOs: optimized geometry, GGA-PBE.

a b c (Å): 3.190 3.190 6.430
angles (deg): 90.00 90.00 90.00
Space group P4mm (No. 99)
Asymmetric unit:
Ta  0.000  0.000  0.000 (multiplicity 1)
Ta  0.500  0.500  0.277 (multiplicity 1)
Tc  0.000  0.000  0.499 (multiplicity 1)
Os  0.500  0.500  0.774 (multiplicity 1)

Summary:
- E (Ry per atom) = -0.8429
- energy of formation from the pure elements (eV per atom) = -0.144
- total moment (μB/cell) = 0.0
- volume (Å³ per atom) = 16.4
- N(E_F) (states/eV per atom) = 0.542

=====

No. 12
Zn2HgW: optimized geometry, GGA-PBE.

a b c (Å): 4.117 4.117 3.824
angles (deg): 90.00 90.00 90.00
Space group P4/mmm (No. 123)
Asymmetric unit:
Zn  0.000  0.500  0.000 (multiplicity 2)
Hg  0.000  0.000  0.500 (multiplicity 1)
W  0.500  0.500  0.500 (multiplicity 1)

Summary:
- E (Ry per atom) = -0.2596
- energy of formation from the pure elements (eV per atom) = 0.419
- total moment (μB/cell) = 0.0
- volume (Å³ per atom) = 16.2
- N(E_F) (states/eV per atom) = 0.513

=====

No. 13
AcPmDy4: optimized geometry, GGA-PBE.

a b c (Å): 10.764 13.418 6.734
angles (deg): 90.00 122.70 90.00
Space group C2/c (No. 15)
Asymmetric unit:
Ac  0.000  0.072  0.250 (multiplicity 4)
Pm  0.000  0.191  0.750 (multiplicity 4)
Dy  0.159  0.424  0.743 (multiplicity 8)
Dy  0.164  0.315  0.247 (multiplicity 8)

Summary:
- E (Ry per atom) = -0.3296
- energy of formation from the pure elements (eV per atom) = 0.060
- total moment (μB/cell) = 0.0
- volume (Å³ per atom) = 34.1
- N(E_F) (states/eV per atom) = 1.678

=====

No. 14
NaTl5I5: optimized geometry, GGA-PBE.

a b c (Å): 15.337 6.862 9.593
angles (deg): 90.00 109.12 90.00
Space group C2/m (No. 12)
Asymmetric unit:
Na  0.000  0.000  0.000 (multiplicity 2)
Tl  0.000  0.000  0.500 (multiplicity 2)
Tl  0.152  0.500  0.350 (multiplicity 4)
Tl  0.153  0.500  0.806 (multiplicity 4)
I  0.000  0.500  0.000 (multiplicity 2)
I  0.158  0.000  0.317 (multiplicity 4)
I  0.168  0.000  0.847 (multiplicity 4)

Summary:
- E (Ry per atom) = -0.1851
- total moment (μB/cell) = 0.0
- volume (Å³ per atom) = 43.4
- N(E_F) (states/eV per atom) = 0.251
- formation energy (no corrections) (meV/atom) = -618

=====

No. 15
TmZr2Cu6: optimized geometry, GGA-PBE.

a b c (Å): 7.4079 7.4079 3.0633
angles (deg): 90.00 90.00 120.00
Space group P6/mmm (No. 191)
Asymmetric unit:
Tm  0.0000  0.0000  0.0000 (multiplicity 1)
Zr  0.3333  0.6667  0.0000 (multiplicity 2)
Cu  0.0000  0.3350  0.5000 (multiplicity 6)

Summary:
- E (Ry per atom) = -0.3890
- energy of formation from the pure elements (eV per atom) = -0.166
- total moment (μB/cell) = 0.0
- volume (Å³ per atom) = 16.2
- N(E_F) (states/eV per atom) = 0.641

=====

No. 16
IrRu: optimized geometry, GGA-PBE.

a b c (Å): 11.159 11.159 3.793
angles (deg): 90.00 90.00 90.00
Space group P4/m (No. 83)
Asymmetric unit:
Ir  0.089  0.253  0.000 (multiplicity 4)
Ir  0.117  0.600  0.500 (multiplicity 4)
Ru  0.094  0.383  0.500 (multiplicity 4)
Ru  0.124  0.733  0.000 (multiplicity 4)

Summary:
- E (Ry per atom) = -0.5697
- energy of formation from the pure elements (eV per atom) = 1.317
- total moment (μB/cell) = 0.0
- volume (Å³ per atom) = 29.5
- N(E_F) (states/eV per atom) = 0.854

=====

No. 17
ScTcPt2: optimized geometry, GGA-PBE.

a b c (Å): 2.828 4.579 4.950
angles (deg): 90.00 90.00 90.00
Space group Pmm2 (No. 25)
Asymmetric unit:
Sc  0.000  0.000  0.000 (multiplicity 1)
Tc  0.000  0.500  0.633 (multiplicity 1)
Pt  0.500  0.000  0.506 (multiplicity 1)
Pt  0.500  0.500  0.152 (multiplicity 1)

Summary:
- E (Ry per atom) = -0.5743
- energy of formation from the pure elements (eV per atom) = -0.619
- total moment (μB/cell) = 0.0
- volume (Å³ per atom) = 16.0
- N(E_F) (states/eV per atom) = 0.764

=====

No. 18
TiCrPtSe2: optimized geometry, GGA-PBE.

a b c (Å): 4.983 4.983 4.747
angles (deg): 90.00 90.00 90.00
Space group P4/mmm (No. 123)
Asymmetric unit:
Ti  0.000  0.000  0.000 (multiplicity 1)
Cr  0.500  0.500  0.000 (multiplicity 1)
Pt  0.000  0.000  0.500 (multiplicity 1)
Se  0.000  0.500  0.500 (multiplicity 2)

Summary:
- E (Ry per atom) = -0.3689
- total moment (μB/cell) = 1.4
- volume (Å³ per atom) = 23.6
- N(E_F) (states/eV per atom) = 2.218
- formation energy (no corrections) (meV/atom) = 1086

=====

No. 19
AlTcNi2: optimized geometry, GGA-PBE.

a b c (Å): 2.6666 2.6666 24.6375
angles (deg): 90.00 90.00 120.00
Space group R-3m (No. 166, hexagonal axes)
Asymmetric unit:
Al  0.0000  0.0000  0.0000 (multiplicity 3)
Tc  0.0000  0.0000  0.5000 (multiplicity 3)
Ni  0.0000  0.0000  0.2530 (multiplicity 6)

Summary:
- E (Ry per atom) = -0.4804
- energy of formation from the pure elements (eV per atom) = -0.118
- total moment (μB/cell) = 0.0
- volume (Å³ per atom) = 12.6
- N(E_F) (states/eV per atom) = 1.194

=====

No. 20
Rb2MoC: optimized geometry, GGA-PBE.

a b c (Å): 12.949 12.949 4.002
angles (deg): 90.00 90.00 90.00
Space group I-42d (No. 122)
Asymmetric unit:
Rb  0.043  0.250  0.125 (multiplicity 8)
Mo  0.000  0.000  0.500 (multiplicity 4)
C  0.000  0.000  0.000 (multiplicity 4)

Summary:
- E (Ry per atom) = -0.3238
- energy of formation from the pure elements (eV per atom) = 1.092
- total moment (μB/cell) = 10.5
- volume (Å³ per atom) = 41.9
- N(E_F) (states/eV per atom) = 0.628